(1)
A plane-wave DFT calculation with PBE was carried out for a relaxed structure of Cd2Ga2Ge.

Cell: 3.785 3.785 15.262 Å, 90.00 90.00 90.00°
Space group I4/mmm (No. 139)
Symmetry-distinct sites (fractional):
Cd  0.000  0.000  0.097 [4 per cell]
Ga  0.000  0.500  0.250 [4 per cell]
Ge  0.000  0.000  0.500 [2 per cell]

Values from the calculation:
- Energy relative to the elements: 0.197 eV per atom
- Theoretical density: 6.64 g cm⁻³
- Total DFT energy (no corrections): -2.304 eV/atom
- Energy relative to the lowest polymorph listed for this composition: 3 meV per atom
- Density of states at the Fermi level: 2.5 states/eV/f.u.

=====

(2)
A plane-wave DFT calculation with PBE was carried out for a relaxed structure of CdGaGe2.

Cell: 3.373 3.373 7.176 Å, 90.00 90.00 90.00°
Space group P4/mmm (No. 123)
Symmetry-distinct sites (fractional):
Cd  0.000  0.000  0.000 [1 per cell]
Ga  0.000  0.000  0.500 [1 per cell]
Ge  0.500  0.500  0.287 [2 per cell]

Values from the calculation:
- Energy relative to the elements: 0.211 eV per atom
- Theoretical density: 6.66 g cm⁻³
- Total DFT energy (no corrections): -3.083 eV/atom
- Energy relative to the lowest polymorph listed for this composition: 22 meV per atom
- Density of states at the Fermi level: 1.5 states/eV/f.u.

=====

(3)
A plane-wave DFT calculation with PBE was carried out for a relaxed structure of CdGa2Ge.

Cell: 6.900 6.900 6.900 Å, 90.00 90.00 90.00°
Space group Fm-3m (No. 225)
Symmetry-distinct sites (fractional):
Cd  0.000  0.000  0.000 [4 per cell]
Ga  0.250  0.250  0.250 [8 per cell]
Ge  0.000  0.000  0.500 [4 per cell]

Values from the calculation:
- Energy relative to the elements: 0.124 eV per atom
- Theoretical density: 6.56 g cm⁻³
- Total DFT energy (no corrections): -2.772 eV/atom
- Energy relative to the lowest polymorph listed for this composition: 18 meV per atom
- Density of states at the Fermi level: 1.3 states/eV/f.u.